Record 1
# Ac2HgRh3

A relaxed structure of Ac2HgRh3 (GGA-PBE, Alexandria via LeMat-Bulk).

a b c (Å): 7.687 4.276 17.029
angles (deg): 90.00 90.00 90.00
Element x y z (fractional)
Ac 0.033 0.250 0.223
Ac 0.158 0.250 0.439
Ac 0.342 0.750 0.939
Ac 0.467 0.750 0.723
Ac 0.533 0.250 0.277
Ac 0.658 0.250 0.061
Ac 0.842 0.750 0.561
Ac 0.967 0.750 0.777
Hg 0.004 0.750 0.067
Hg 0.496 0.250 0.567
Hg 0.504 0.750 0.433
Hg 0.996 0.250 0.933
Rh 0.112 0.250 0.644
Rh 0.240 0.750 0.581
Rh 0.242 0.750 0.303
Rh 0.258 0.250 0.803
Rh 0.260 0.250 0.081
Rh 0.388 0.750 0.144
Rh 0.612 0.250 0.856
Rh 0.740 0.750 0.919
Rh 0.742 0.750 0.197
Rh 0.758 0.250 0.697
Rh 0.760 0.250 0.419
Rh 0.888 0.750 0.356

Summary:
* crystal system: orthorhombic
* SG: No. 62
* energy relative to the lowest polymorph listed for this composition: 0 meV/atom

=====

Record 2
# Ac3Hg2Rh3

A relaxed structure of Ac3Hg2Rh3 (GGA-PBE, Alexandria via LeMat-Bulk).

a b c (Å): 6.871 6.871 15.093
angles (deg): 90.00 90.00 144.37
Element x y z (fractional)
Ac 0.065 0.935 0.613
Ac 0.065 0.935 0.887
Ac 0.333 0.667 0.750
Ac 0.667 0.333 0.250
Ac 0.935 0.065 0.113
Ac 0.935 0.065 0.387
Hg 0.228 0.772 0.078
Hg 0.228 0.772 0.422
Hg 0.772 0.228 0.578
Hg 0.772 0.228 0.922
Rh 0.337 0.663 0.250
Rh 0.411 0.589 0.546
Rh 0.411 0.589 0.954
Rh 0.589 0.411 0.046
Rh 0.589 0.411 0.454
Rh 0.663 0.337 0.750

Summary:
* crystal system: orthorhombic
* SG: No. 63
* energy relative to the lowest polymorph listed for this composition: 0 meV/atom

=====

Record 3
# Ac4HgRh2

A relaxed structure of Ac4HgRh2 (GGA-PBE, Alexandria via LeMat-Bulk).

a b c (Å): 8.598 8.598 8.598
angles (deg): 109.91 109.79 108.72
Element x y z (fractional)
Ac 0.217 0.279 0.563
Ac 0.217 0.654 0.937
Ac 0.280 0.217 0.063
Ac 0.346 0.783 0.563
Ac 0.654 0.217 0.437
Ac 0.720 0.783 0.937
Ac 0.783 0.346 0.063
Ac 0.783 0.721 0.437
Hg 0.124 0.874 0.250
Hg 0.876 0.126 0.750
Rh 0.000 0.500 0.500
Rh 0.500 0.000 0.000
Rh 0.500 0.500 0.000
Rh 0.500 0.500 0.500

Summary:
* crystal system: orthorhombic
* SG: No. 74
* energy relative to the lowest polymorph listed for this composition: 103 meV/atom

=====

Record 4
# Ac8Hg2Rh3

A relaxed structure of Ac8Hg2Rh3 (GGA-PBE, Alexandria via LeMat-Bulk).

a b c (Å): 9.284 9.284 7.495
angles (deg): 105.64 105.64 55.19
Element x y z (fractional)
Ac 0.106 0.106 0.904
Ac 0.138 0.652 0.600
Ac 0.348 0.862 0.400
Ac 0.388 0.388 0.064
Ac 0.612 0.612 0.936
Ac 0.652 0.138 0.600
Ac 0.862 0.348 0.400
Ac 0.894 0.894 0.096
Hg 0.255 0.255 0.329
Hg 0.745 0.745 0.671
Rh 0.000 0.000 0.500
Rh 0.254 0.746 0.000
Rh 0.746 0.254 0.000

Summary:
* crystal system: monoclinic
* SG: No. 12

=====

no.,energy (hartree per atom)
1,-0.204
2,-0.180
3,-0.183
4,-0.174